Material: FeCu2Ni
Method: DFT, PBE
State: optimized geometry

POSCAR file:
```
FeCu2Ni
1.0
-2.4041 -7.3103 3.6562
-3.2670 -7.7554 1.3301
-0.8643 -8.2600 1.9010
Cu Ni Fe
2 1 1
Direct
0.0014 0.0014 0.0014
0.4986 0.4986 0.4986
0.7500 0.7500 0.7500
0.2500 0.2500 0.2500
```

Results
For the electronic total energy, the calculation gives -5.545 eV/atom. The volume is 46.2 Å³ per cell. The formation energy is 64 meV per atom.


Material: FeCu2Ni
Method: DFT, PBE
State: optimized geometry

POSCAR file:
```
FeCu2Ni
1.0
2.4697 -0.0015 0.0000
-0.8004 2.3364 0.0000
0.0000 0.0000 8.1078
Fe Ni Cu
1 1 2
Direct
0.0000 0.0000 0.5063
0.5000 0.5000 0.7470
0.0000 0.0000 0.9964
0.5000 0.5000 0.2503
```

Results
For the electronic total energy, the calculation gives -5.541 eV/atom. The volume is 46.8 Å³ per cell. The formation energy is 68 meV per atom.


Material: FeCuNi2
Method: DFT, PBE
State: optimized geometry

POSCAR file:
```
FeCuNi2
1.0
2.5048 0.0000 0.0000
0.0000 2.5048 0.0000
0.0000 0.0000 7.2235
Ni Fe Cu
2 1 1
Direct
0.0000 0.0000 0.0027
0.5000 0.5000 0.2455
0.5000 0.5000 0.7563
0.0000 0.0000 0.4956
```

Results
For the electronic total energy, the calculation gives -5.999 eV/atom. The volume is 45.3 Å³ per cell. The formation energy is 32 meV per atom.


Material: FeCu2Ni
Method: DFT, PBE
State: optimized geometry

POSCAR file:
```
FeCu2Ni
1.0
4.9123 -0.0087 0.0095
-2.4467 4.2596 0.0095
0.5253 0.9057 2.2447
Ni Cu Fe
1 2 1
Direct
0.0000 0.5000 0.5000
0.5000 0.5000 0.0000
0.0000 0.0000 0.0000
0.5000 0.0000 0.5000
```

Results
For the electronic total energy, the calculation gives -5.489 eV/atom. The volume is 46.8 Å³ per cell. The formation energy is 120 meV per atom.


Material: Fe2Cu2Ni7
Method: DFT, PBE
State: optimized geometry

POSCAR file:
```
Fe2Cu2Ni7
1.0
4.7384 -0.0013 -1.1539
0.0036 6.6673 0.0023
-1.4469 -0.0017 4.6573
Fe Ni Cu
2 7 2
Direct
0.2420 0.5000 0.2420
0.7580 0.5000 0.7580
0.9999 0.6817 0.5001
0.4999 0.6817 0.0001
0.4998 0.1978 0.5002
0.5002 0.8022 0.4998
0.0000 0.0000 0.0000
0.5001 0.3183 0.9999
0.0001 0.3183 0.4999
0.7276 0.0001 0.2724
0.2724 0.9999 0.7276
```

Results
For the electronic total energy, the calculation gives -5.603 eV/atom. The volume is 136.0 Å³ per cell. The energy above the most stable polymorph in this dataset is 2.49 eV per formula unit. The formation energy is 359 meV per atom.


Material: FeCu2Ni
Method: DFT, PBE
State: optimized geometry

POSCAR file:
```
FeCu2Ni
1.0
-0.6773 3.7940 -1.2410
-3.7946 1.3127 -0.5205
-1.5712 2.7167 2.5582
Ni Fe Cu
1 1 2
Direct
0.7500 0.7500 0.7500
0.5000 0.5000 0.5000
0.0000 0.0000 0.0000
0.2500 0.2500 0.2500
```

Results
For the electronic total energy, the calculation gives -5.507 eV/atom. The volume is 46.9 Å³ per cell. The formation energy is 102 meV per atom.


Look up the formation energy of the second one.
68 meV per atom


The lowest formation energy belongs to which entry?
FeCuNi2


The lowest formation energy belongs to which entry?
FeCuNi2